1.
Here is a relaxed structure of Rb2ZnCdCl6 from Alexandria. Energies are from GGA-PBE.

The calculation puts the total magnetization at 0.000 μB per formula unit. For the density of states at the Fermi level, the calculation gives 0.000 states/eV per cell. Its density is 3.455 Mg/m³. The value obtained for the uncorrected formation energy is -1.43 eV per atom. As for the symmetry: No. 2. The total energy comes out at -29.50 eV/f.u.

Lattice parameters (Å, degrees): 7.2196 7.2234 7.2234 60.53 60.60 60.61
Last column: nearest neighbours and their distance in Å.
Positions (direct):
Rb 0.2496 0.2498 0.2492  9 Cl 3.38-3.65
Rb 0.7504 0.7502 0.7508  9 Cl 3.38-3.65
Zn 0.0000 0.0000 0.0000  6 Cl 2.50
Cd 0.5000 0.5000 0.5000  6 Cl 2.66
Cl 0.2051 0.7569 0.2789  1 Zn 2.50, 1 Cd 2.66
Cl 0.2416 0.7224 0.7927  1 Zn 2.50, 1 Cd 2.66
Cl 0.2792 0.2052 0.7609  1 Zn 2.50, 1 Cd 2.66
Cl 0.7208 0.7948 0.2391  1 Zn 2.50, 1 Cd 2.66
Cl 0.7584 0.2776 0.2073  1 Zn 2.50, 1 Cd 2.66
Cl 0.7949 0.2431 0.7211  1 Zn 2.50, 1 Cd 2.66

2.
Here is a relaxed structure of Pm2HgPt2 from Alexandria. Energies are from GGA-PBE.

The calculation puts the total magnetization at 0.000 μB per formula unit. For the density of states at the Fermi level, the calculation gives 7.443 states/eV per cell. Its density is 12.386 Mg/m³. For the formation energy, the calculation gives -474.1 kJ/mol of formula units. As for the symmetry: No. 127. The total energy comes out at -26.80 eV/f.u.

Lattice parameters (Å, degrees): 7.8857 7.8857 3.7976 90.00 90.00 90.00
Last column: nearest neighbours and their distance in Å.
Positions (direct):
Pm 0.1719 0.3281 0.0000  6 Pt 2.94-3.05
Pm 0.3281 0.8281 0.0000  6 Pt 2.94-3.05
Pm 0.6719 0.1719 0.0000  6 Pt 2.94-3.05
Pm 0.8281 0.6719 0.0000  6 Pt 2.94-3.05
Hg 0.0000 0.0000 0.5000  4 Pt 3.11
Hg 0.5000 0.5000 0.5000  4 Pt 3.11
Pt 0.1274 0.6274 0.5000  1 Pt 2.84, 6 Pm 2.94-3.05, 2 Hg 3.11
Pt 0.3726 0.1274 0.5000  1 Pt 2.84, 6 Pm 2.94-3.05, 2 Hg 3.11
Pt 0.6274 0.8726 0.5000  1 Pt 2.84, 6 Pm 2.94-3.05, 2 Hg 3.11
Pt 0.8726 0.3726 0.5000  1 Pt 2.84, 6 Pm 2.94-3.05, 2 Hg 3.11

3.
Here is a relaxed structure of GaAgPb from Alexandria. Energies are from GGA-PBE.

The calculation puts the total magnetization at 0.000 μB per formula unit. For the density of states at the Fermi level, the calculation gives 2.210 states/eV per cell. Its density is 9.260 Mg/m³. For the formation energy, the calculation gives 18.3 kJ/mol of formula units. As for the symmetry: No. 2. The total energy comes out at -9.40 eV/f.u.

Lattice parameters (Å, degrees): 3.2327 6.5670 6.7381 97.37 103.22 90.45
Last column: nearest neighbours and their distance in Å.
Positions (direct):
Ga 0.2239 0.1524 0.4484  2 Ga 2.71-2.74, 3 Ag 2.77-2.85
Ga 0.7761 0.8476 0.5516  2 Ga 2.71-2.74, 3 Ag 2.77-2.85
Ag 0.3409 0.5486 0.6874  3 Ga 2.77-2.85, 2 Ag 2.94
Ag 0.6591 0.4514 0.3126  3 Ga 2.77-2.85, 2 Ag 2.94
Pb 0.0537 0.7660 0.0830  4 Ag 3.16-3.26, 4 Pb 3.23-3.52, 3 Ga 3.25-3.45
Pb 0.9463 0.2340 0.9170  4 Ag 3.16-3.26, 4 Pb 3.23-3.52, 3 Ga 3.25-3.45

> density of number 1 (Rb2ZnCdCl6)?

3.455 Mg/m³